PBE-GGA Ta4SiB3, optimized geometry; raw total energy = -0.3572 hartree per atom
1.0
3.2554 0.0000 0.0000
-1.6277 2.8193 0.0000
0.0000 0.0000 23.1678
Ta Si B
8 2 6
Direct
0.0000 0.0000 0.1683
0.0000 0.0000 0.3317
0.0000 0.0000 0.6683
0.0000 0.0000 0.8317
0.3333 0.6667 0.0564
0.3333 0.6667 0.4436
0.6667 0.3333 0.5564
0.6667 0.3333 0.9436
0.3333 0.6667 0.2500
0.6667 0.3333 0.7500
0.0000 0.0000 0.0000
0.0000 0.0000 0.5000
0.3333 0.6667 0.6149
0.3333 0.6667 0.8851
0.6667 0.3333 0.1149
0.6667 0.3333 0.3851